Sc4TlPd2: relaxed, GGA-PBE.

Summary:
- total moment (μB/f.u.) = 0.00
- density of states at the Fermi level (states/eV per atom) = 1.138
- final energy (eV/f.u.) = -40.8

Cell and atoms, written as extended XYZ:
```
7
Lattice="2.226 1.285 9.465 -2.226 1.285 9.465 0.000 -2.570 9.465" Properties=species:S:1:pos:R:3 pbc="T T T"
Sc 0.000 0.000 3.195
Sc 0.000 0.000 8.506
Sc 0.000 0.000 19.889
Sc 0.000 0.000 25.200
Tl 0.000 0.000 14.197
Pd 0.000 0.000 11.313
Pd 0.000 0.000 17.082
```